(w)
Entry from OQMD: Tb2Al3Ga3 after structural relaxation (PBE).

a b c (Å): 6.2963 4.5516 6.3088
angles (deg): 90.00 119.67 90.00
Closest atoms and distances in Å follow each position.
Space group Pm (No. 6)
One atom of each set of equivalent atoms:
Tb  0.0000  0.0000  0.0000 x1  6 Ga 3.04-3.18, 6 Al 3.07-3.18
Tb  0.3323  0.5000  0.6710 x1  6 Ga 3.05-3.17, 6 Al 3.09-3.19
Al  0.3769  0.5000  0.1951 x1  3 Al 2.74-2.75, 3 Ga 2.76-2.80
Al  0.5224  0.0000  0.4769 x1  4 Ga 2.75-2.77, 2 Al 2.75
Al  0.8123  0.5000  0.1947 x1  1 Al 2.74, 5 Ga 2.76-2.78
Ga  0.5202  0.0000  0.0404 x1  5 Al 2.75-2.80, 1 Ga 2.79, 2 Tb 3.05
Ga  0.8109  0.5000  0.6321 x1  4 Al 2.76-2.77, 2 Ga 2.82, 2 Tb 3.04
Ga  0.9617  0.0000  0.4785 x1  3 Al 2.76, 3 Ga 2.79-2.82, 2 Tb 3.05

For the density, the calculation gives 6.43 g cm⁻³.


(x)
Entry from OQMD: Tb2Al3Ga3 after structural relaxation (PBE).

a b c (Å): 6.3179 6.3179 4.5246
angles (deg): 90.00 90.00 120.00
Closest atoms and distances in Å follow each position.
Space group P-6m2 (No. 187)
One atom of each set of equivalent atoms:
Tb  0.0000  0.0000  0.0000 x1  6 Ga 3.05, 6 Al 3.17
Tb  0.3333  0.6667  0.5000 x1  6 Al 3.06, 6 Ga 3.17
Al  0.5213  0.0425  0.0000 x3  2 Al 2.76, 4 Ga 2.77, 2 Tb 3.06
Ga  0.3729  0.1865  0.5000 x3  4 Al 2.77, 2 Ga 2.78, 2 Tb 3.05

For the density, the calculation gives 6.45 g cm⁻³.


On energetic grounds, (x) is preferred over the next structure by 0.5 kJ/mol of atoms.


(w)
Entry from OQMD: Al2Ga2Tc after structural relaxation (PBE).

a b c (Å): 3.5323 3.5323 12.4875
angles (deg): 90.00 90.00 90.00
Closest atoms and distances in Å follow each position.
Space group I4/mmm (No. 139)
One atom of each set of equivalent atoms:
Al  0.0000  0.0000  0.0956 x4  1 Al 2.39, 4 Ga 2.61
Ga  0.0000  0.5000  0.2500 x4  4 Ga 2.50, 4 Al 2.61
Tc  0.0000  0.0000  0.5000 x2  8 Al 2.77

For the density, the calculation gives 6.21 g cm⁻³.


(x)
Entry from OQMD: Al2Ga2Tc after structural relaxation (PBE).

a b c (Å): 3.6283 3.6283 12.0481
angles (deg): 90.00 90.00 90.00
Closest atoms and distances in Å follow each position.
Space group I4/mmm (No. 139)
One atom of each set of equivalent atoms:
Al  0.0000  0.5000  0.2500 x4  4 Al 2.57, 4 Ga 2.58
Ga  0.0000  0.0000  0.0981 x4  1 Ga 2.36, 4 Al 2.58
Tc  0.0000  0.0000  0.5000 x2  8 Ga 2.82

For the density, the calculation gives 6.10 g cm⁻³.


On energetic grounds, (w) is preferred over the next structure by 13.3 kJ/mol of atoms.


(w)
Entry from OQMD: Gd3Al3GePd2 after structural relaxation (PBE).

a b c (Å): 7.4891 7.4891 3.8626
angles (deg): 90.00 90.00 120.00
Closest atoms and distances in Å follow each position.
Space group P-62m (No. 189)
One atom of each set of equivalent atoms:
Gd  0.0000  0.3993  0.0000 x3  1 Ge 2.99, 4 Pd 3.00, 6 Al 3.20-3.26
Al  0.0000  0.7398  0.5000 x3  2 Ge 2.74, 2 Pd 2.81
Ge  0.0000  0.0000  0.0000 x1  6 Al 2.74, 3 Gd 2.99
Pd  0.3333  0.6667  0.5000 x2  3 Al 2.81, 6 Gd 3.00

For the density, the calculation gives 7.42 g cm⁻³.


(x)
Entry from OQMD: Gd3Al3GePd2 after structural relaxation (PBE).

a b c (Å): 7.6125 7.6125 3.9942
angles (deg): 90.00 90.00 120.00
Closest atoms and distances in Å follow each position.
Space group P-62m (No. 189)
One atom of each set of equivalent atoms:
Gd  0.0000  0.7242  0.0000 x3  2 Pd 2.78, 2 Ge 2.90
Al  0.0000  0.4066  0.5000 x3  4 Pd 3.05, 1 Ge 3.10, 6 Gd 3.14-3.39
Ge  0.0000  0.0000  0.5000 x1  6 Gd 2.90, 3 Al 3.10
Pd  0.3333  0.6667  0.0000 x2  3 Gd 2.78, 6 Al 3.05

For the density, the calculation gives 6.94 g cm⁻³.


On energetic grounds, (w) is preferred over the next structure by 33.1 kJ/mol of atoms.


(w)
Entry from OQMD: Gd2Al3Hg3 after structural relaxation (PBE).

a b c (Å): 6.6270 6.6270 4.6781
angles (deg): 90.00 90.00 120.00
Closest atoms and distances in Å follow each position.
Space group P-6m2 (No. 187)
One atom of each set of equivalent atoms:
Gd  0.0000  0.0000  0.0000 x1  6 Al 3.20, 6 Hg 3.31
Gd  0.3333  0.6667  0.5000 x1  6 Hg 3.07, 6 Al 3.32
Al  0.3804  0.1902  0.5000 x3  2 Al 2.85, 4 Hg 2.92
Hg  0.5066  0.0131  0.0000 x3  4 Al 2.92, 2 Gd 3.07, 2 Hg 3.18

For the density, the calculation gives 9.31 g cm⁻³.


(x)
Entry from OQMD: Gd2Al3Hg3 after structural relaxation (PBE).

a b c (Å): 4.8582 6.4964 11.1493
angles (deg): 90.00 90.00 90.00
Closest atoms and distances in Å follow each position.
Space group Amm2 (No. 38)
One atom of each set of equivalent atoms:
Gd  0.0000  0.0000  0.0000 x2  6 Hg 3.12-3.25, 6 Al 3.13-3.33
Gd  0.5000  0.0000  0.3377 x2  6 Hg 3.07-3.32, 6 Al 3.19-3.25
Al  0.0000  0.2196  0.7497 x4  3 Al 2.85-2.93, 3 Hg 2.97-3.06, 3 Gd 3.13-3.19
Al  0.5000  0.0000  0.8226 x2  4 Al 2.93, 2 Hg 2.99, 4 Gd 3.13-3.25
Hg  0.0000  0.0000  0.5066 x2  4 Al 3.06-3.39, 4 Gd 3.07-3.25, 4 Hg 3.09
Hg  0.5000  0.2503  0.0977 x4  3 Al 2.97-2.99, 4 Hg 3.09-3.25, 4 Gd 3.12-3.32

For the density, the calculation gives 9.41 g cm⁻³.


On energetic grounds, (w) is preferred over the next structure by 0.8 kJ/mol of atoms.


(w)
Entry from OQMD: GdHoAl after structural relaxation (PBE).

a b c (Å): 6.5557 5.1099 9.5016
angles (deg): 90.00 90.00 90.00
Closest atoms and distances in Å follow each position.
Space group Pnma (No. 62)
One atom of each set of equivalent atoms:
Gd  0.1898  0.2500  0.0738 x4  5 Al 3.07-3.40, 2 Ho 3.41
Ho  0.0269  0.2500  0.7096 x4  3 Al 3.14-3.19, 2 Ho 3.37, 3 Gd 3.41-3.48
Al  0.2060  0.2500  0.3972 x4  5 Gd 3.07-3.40, 3 Ho 3.14-3.19

For the density, the calculation gives 7.29 g cm⁻³.


(x)
Entry from OQMD: GdHoAl after structural relaxation (PBE).

a b c (Å): 7.1660 7.1660 7.1660
angles (deg): 90.00 90.00 90.00
Closest atoms and distances in Å follow each position.
Space group F-43m (No. 216)
One atom of each set of equivalent atoms:
Gd  0.0000  0.0000  0.0000 x4  4 Ho 3.10
Ho  0.2500  0.2500  0.2500 x4  4 Gd 3.10, 4 Al 3.10
Al  0.0000  0.0000  0.5000 x4  4 Ho 3.10

For the density, the calculation gives 6.30 g cm⁻³.


On energetic grounds, (w) is preferred over the next structure by 77.3 kJ/mol of atoms.


(w)
Entry from OQMD: GdAlNO after structural relaxation (PBE).

a b c (Å): 3.7951 3.7951 8.5254
angles (deg): 90.00 90.00 90.00
Closest atoms and distances in Å follow each position.
Space group P4/nmm (No. 129, origin choice 2)
One atom of each set of equivalent atoms:
Gd  0.2500  0.2500  0.1379 x2  4 O 2.23
Al  0.2500  0.7500  0.5000 x2  4 N 1.97
N  0.2500  0.2500  0.4389 x2  4 Al 1.97
O  0.2500  0.7500  0.0000 x2  4 Gd 2.23

For the density, the calculation gives 5.79 g cm⁻³.


(x)
Entry from OQMD: GdAlNO after structural relaxation (PBE).

a b c (Å): 5.1815 7.9239 4.9958
angles (deg): 90.00 90.00 90.00
Closest atoms and distances in Å follow each position.
Space group Pca2_1 (No. 29)
One atom of each set of equivalent atoms:
Gd  0.0106  0.1331  0.0000 x4  5 N 2.36-2.62
Al  0.0638  0.6131  0.9672 x4  3 O 1.79-1.85, 1 N 1.79
N  0.0065  0.8354  0.0003 x4  1 Al 1.79
O  0.1250  0.5516  0.6164 x4  3 Al 1.79-1.85

For the density, the calculation gives 6.94 g cm⁻³.


(y)
Entry from OQMD: GdAlNO after structural relaxation (PBE).

a b c (Å): 3.5753 5.2124 5.5120
angles (deg): 90.00 90.00 90.00
Closest atoms and distances in Å follow each position.
Space group Pmc2_1 (No. 26)
One atom of each set of equivalent atoms:
Gd  0.0000  0.2189  0.0000 x2  1 O 2.34, 4 N 2.51-2.54
Al  0.5000  0.2448  0.4882 x2  2 O 1.85, 2 N 1.87-1.89
N  0.5000  0.0115  0.7460 x2  2 Al 1.87-1.89
O  0.0000  0.3324  0.4702 x2  2 Al 1.85

For the density, the calculation gives 6.93 g cm⁻³.


(z)
Entry from OQMD: GdAlNO after structural relaxation (PBE).

a b c (Å): 3.4101 6.0047 5.2609
angles (deg): 90.00 90.00 90.00
Closest atoms and distances in Å follow each position.
Space group Pmc2_1 (No. 26)
One atom of each set of equivalent atoms:
Gd  0.0000  0.1942  0.0000 x2  2 N 2.23-2.49
Al  0.5000  0.3067  0.4992 x2  2 O 1.80-1.81, 2 N 1.88
N  0.0000  0.1763  0.4731 x2  2 Al 1.88
O  0.5000  0.4471  0.8020 x2  2 Al 1.80-1.81

For the density, the calculation gives 6.60 g cm⁻³.


On energetic grounds, (z) is preferred over the next structure by 1.9 kJ/mol of atoms.